# AlSnCl5, optimized geometry, DFT PBE
data_AlSnCl5
_space_group_name_H-M_alt 'P 1'
_space_group_IT_number 1
_cell_length_a 7.242
_cell_length_b 7.246
_cell_length_c 10.626
_cell_angle_alpha 108.85
_cell_angle_beta 107.66
_cell_angle_gamma 94.58
loop_
_space_group_symop_operation_xyz
'x,y,z'
loop_
_atom_site_label
_atom_site_fract_x
_atom_site_fract_y
_atom_site_fract_z
_atom_site_occupancy
Al1 0.000 0.000 0.000 1
Al2 0.314 0.812 0.500 1
Sn1 0.158 0.405 0.749 1
Sn2 0.656 0.403 0.249 1
Cl1 0.048 0.658 0.319 1
Cl2 0.262 0.162 0.183 1
Cl3 0.329 0.131 0.561 1
Cl4 0.337 0.733 0.683 1
Cl5 0.538 0.515 0.050 1
Cl6 0.570 0.758 0.440 1
Cl7 0.742 0.044 0.060 1
Cl8 0.849 0.327 0.550 1
Cl9 0.973 0.084 0.818 1
Cl10 0.997 0.684 0.941 1
# total DFT energy (no corrections)	-3.7127	eV/atom
# formation energy without anion corrections	-1.29	eV/atom

=====

# Cs2SnPbO4, optimized geometry, DFT PBE
data_Cs2SnPbO4
_space_group_name_H-M_alt 'I -4'
_space_group_IT_number 82
_cell_length_a 6.549
_cell_length_b 6.549
_cell_length_c 9.182
_cell_angle_alpha 90.00
_cell_angle_beta 90.00
_cell_angle_gamma 90.00
loop_
_space_group_symop_operation_xyz
'x,y,z'
'y,-x,-z'
'-x,-y,z'
'-y,x,-z'
'x+1/2,y+1/2,z+1/2'
'y+1/2,-x+1/2,-z+1/2'
'-x+1/2,-y+1/2,z+1/2'
'-y+1/2,x+1/2,-z+1/2'
loop_
_atom_site_label
_atom_site_fract_x
_atom_site_fract_y
_atom_site_fract_z
_atom_site_occupancy
Cs1 0.000 0.000 0.000 1
Cs2 0.000 0.500 0.250 1
Sn1 0.000 0.000 0.500 1
Pb1 0.000 0.500 0.750 1
O1 0.138 0.784 0.618 1
# total DFT energy (no corrections)	-5.0654	eV/atom
# formation energy without anion corrections	-1.41	eV/atom

=====

# CaTm2Pb9, optimized geometry, DFT PBE
data_CaTm2Pb9
_space_group_name_H-M_alt 'P 4/m m m'
_space_group_IT_number 123
_space_group_name_Hall '-P 4 2'
_cell_length_a 4.948
_cell_length_b 4.948
_cell_length_c 14.293
_cell_angle_alpha 90.00
_cell_angle_beta 90.00
_cell_angle_gamma 90.00
loop_
_atom_site_label
_atom_site_fract_x
_atom_site_fract_y
_atom_site_fract_z
_atom_site_occupancy
Ca1 0.000 0.000 0.000 1
Tm1 0.000 0.000 0.338 1
Pb1 0.000 0.500 0.170 1
Pb2 0.000 0.500 0.500 1
Pb3 0.500 0.500 0.000 1
Pb4 0.500 0.500 0.335 1
# total DFT energy (no corrections)	-3.9513	eV/atom
# ΔH_f (0 K)	-0.258	eV/atom

=====

# DyY2MnS6, optimized geometry, DFT PBE
data_DyY2MnS6
_space_group_name_H-M_alt 'P 1'
_space_group_IT_number 1
_cell_length_a 6.599
_cell_length_b 6.724
_cell_length_c 7.049
_cell_angle_alpha 62.21
_cell_angle_beta 89.84
_cell_angle_gamma 62.29
loop_
_space_group_symop_operation_xyz
'x,y,z'
loop_
_atom_site_label
_atom_site_fract_x
_atom_site_fract_y
_atom_site_fract_z
_atom_site_occupancy
Dy1 0.000 0.000 0.000 1
Y1 0.296 0.416 0.886 1
Y2 0.794 0.417 0.398 1
Mn1 0.493 0.013 0.483 1
S1 0.114 0.504 0.204 1
S2 0.227 0.914 0.688 1
S3 0.396 0.908 0.224 1
S4 0.600 0.160 0.698 1
S5 0.700 0.172 0.225 1
S6 0.873 0.513 0.716 1
# total DFT energy (no corrections)	-6.7501	eV/atom
# formation energy without anion corrections	-1.60	eV/atom

=====

# KBeOs2, optimized geometry, DFT PBE
data_KBeOs2
_space_group_name_H-M_alt 'C 1 m 1'
_space_group_IT_number 8
_cell_length_a 8.494
_cell_length_b 2.812
_cell_length_c 6.878
_cell_angle_alpha 90.00
_cell_angle_beta 95.99
_cell_angle_gamma 90.00
loop_
_space_group_symop_operation_xyz
'x,y,z'
'x,-y,z'
'x+1/2,y+1/2,z'
'x+1/2,-y+1/2,z'
loop_
_atom_site_label
_atom_site_fract_x
_atom_site_fract_y
_atom_site_fract_z
_atom_site_occupancy
K1 0.000 0.000 0.000 1
Be1 0.278 0.500 0.367 1
Os1 0.232 0.000 0.619 1
Os2 0.492 0.000 0.493 1
# total DFT energy (no corrections)	-6.1762	eV/atom
# ΔH_f (0 K)	0.645	eV/atom

=====

# Nd3SmEr2Tm6, optimized geometry, DFT PBE
data_Nd3SmEr2Tm6
_space_group_name_H-M_alt 'C 1 2/m 1'
_space_group_IT_number 12
_cell_length_a 6.160
_cell_length_b 10.665
_cell_length_c 11.696
_cell_angle_alpha 90.00
_cell_angle_beta 100.08
_cell_angle_gamma 90.00
loop_
_space_group_symop_operation_xyz
'x,y,z'
'-x,-y,-z'
'-x,y,-z'
'x,-y,z'
'x+1/2,y+1/2,z'
'-x+1/2,-y+1/2,-z'
'-x+1/2,y+1/2,-z'
'x+1/2,-y+1/2,z'
loop_
_atom_site_label
_atom_site_fract_x
_atom_site_fract_y
_atom_site_fract_z
_atom_site_occupancy
Nd1 0.000 0.000 0.000 1
Nd2 0.000 0.333 0.000 1
Sm1 0.000 0.500 0.500 1
Er1 0.000 0.167 0.500 1
Tm1 0.249 0.000 0.747 1
Tm2 0.249 0.333 0.747 1
# total DFT energy (no corrections)	-4.5590	eV/atom
# ΔH_f (0 K)	0.022	eV/atom

=====

# GdDyInGe, optimized geometry, DFT PBE
data_GdDyInGe
_space_group_name_H-M_alt 'F -4 3 m'
_space_group_IT_number 216
_space_group_name_Hall 'F -4 2 3'
_cell_length_a 7.390
_cell_length_b 7.390
_cell_length_c 7.390
_cell_angle_alpha 90.00
_cell_angle_beta 90.00
_cell_angle_gamma 90.00
loop_
_atom_site_label
_atom_site_fract_x
_atom_site_fract_y
_atom_site_fract_z
_atom_site_occupancy
Gd1 0.000 0.000 0.000 1
Dy1 0.000 0.000 0.500 1
In1 0.250 0.250 0.750 1
Ge1 0.250 0.250 0.250 1
# total DFT energy (no corrections)	-7.0045	eV/atom
# ΔH_f (0 K)	-0.495	eV/atom

=====

# Sb2MoSe, optimized geometry, DFT PBE
data_Sb2MoSe
_space_group_name_H-M_alt 'P 4/m m m'
_space_group_IT_number 123
_space_group_name_Hall '-P 4 2'
_cell_length_a 5.136
_cell_length_b 5.136
_cell_length_c 3.283
_cell_angle_alpha 90.00
_cell_angle_beta 90.00
_cell_angle_gamma 90.00
loop_
_atom_site_label
_atom_site_fract_x
_atom_site_fract_y
_atom_site_fract_z
_atom_site_occupancy
Sb1 0.000 0.500 0.000 1
Mo1 0.000 0.000 0.500 1
Se1 0.500 0.500 0.500 1
# total DFT energy (no corrections)	-5.0818	eV/atom
# formation energy without anion corrections	0.56	eV/atom

=====

# TaNiHg, optimized geometry, DFT PBE
data_TaNiHg
_space_group_name_H-M_alt 'C m c m'
_space_group_IT_number 63
_space_group_name_Hall '-C 2c 2'
_cell_length_a 2.916
_cell_length_b 16.326
_cell_length_c 4.192
_cell_angle_alpha 90.00
_cell_angle_beta 90.00
_cell_angle_gamma 90.00
loop_
_atom_site_label
_atom_site_fract_x
_atom_site_fract_y
_atom_site_fract_z
_atom_site_occupancy
Ta1 0.000 0.090 0.250 1
Ni1 0.000 0.459 0.250 1
Hg1 0.000 0.298 0.250 1
# total DFT energy (no corrections)	-5.9105	eV/atom
# ΔH_f (0 K)	0.068	eV/atom

=====

# NaO2F2, optimized geometry, DFT PBE
data_NaO2F2
_space_group_name_H-M_alt 'P 4/m m m'
_space_group_IT_number 123
_space_group_name_Hall '-P 4 2'
_cell_length_a 3.567
_cell_length_b 3.567
_cell_length_c 5.437
_cell_angle_alpha 90.00
_cell_angle_beta 90.00
_cell_angle_gamma 90.00
loop_
_atom_site_label
_atom_site_fract_x
_atom_site_fract_y
_atom_site_fract_z
_atom_site_occupancy
Na1 0.000 0.000 0.000 1
O1 0.000 0.500 0.500 1
F1 0.500 0.500 0.000 1
F2 0.500 0.500 0.500 1
# total DFT energy (no corrections)	-2.8648	eV/atom
# formation energy without anion corrections	0.13	eV/atom

=====

# LaErCu2, optimized geometry, DFT PBE
data_LaErCu2
_space_group_name_H-M_alt 'P 4/m m m'
_space_group_IT_number 123
_space_group_name_Hall '-P 4 2'
_cell_length_a 3.511
_cell_length_b 3.511
_cell_length_c 7.193
_cell_angle_alpha 90.00
_cell_angle_beta 90.00
_cell_angle_gamma 90.00
loop_
_atom_site_label
_atom_site_fract_x
_atom_site_fract_y
_atom_site_fract_z
_atom_site_occupancy
La1 0.000 0.000 0.000 1
Er1 0.000 0.000 0.500 1
Cu1 0.500 0.500 0.281 1
# total DFT energy (no corrections)	-4.6288	eV/atom
# ΔH_f (0 K)	-0.208	eV/atom

=====

# ReSbCl2, optimized geometry, DFT PBE
data_ReSbCl2
_space_group_name_H-M_alt 'P 4 m m'
_space_group_IT_number 99
_cell_length_a 3.150
_cell_length_b 3.150
_cell_length_c 8.467
_cell_angle_alpha 90.00
_cell_angle_beta 90.00
_cell_angle_gamma 90.00
loop_
_space_group_symop_operation_xyz
'x,y,z'
'-y,x,z'
'-x,-y,z'
'y,-x,z'
'-x,y,z'
'y,x,z'
'x,-y,z'
'-y,-x,z'
loop_
_atom_site_label
_atom_site_fract_x
_atom_site_fract_y
_atom_site_fract_z
_atom_site_occupancy
Re1 0.000 0.000 0.000 1
Sb1 0.500 0.500 0.213 1
Cl1 0.000 0.000 0.453 1
Cl2 0.500 0.500 0.821 1
# total DFT energy (no corrections)	-4.7094	eV/atom
# formation energy without anion corrections	0.36	eV/atom